Entry 1:
VASP calculation (PBE) on an optimized crystal structure of Tl15Sn2Pb2. Values from VASP.

Cell and atoms, written as Quantum ESPRESSO input:
```
&SYSTEM
  ibrav = 0, nat = 19, ntyp = 3
/
ATOMIC_SPECIES
Tl 204.38 Tl.upf
Sn 118.71 Sn.upf
Pb 207.20 Pb.upf
CELL_PARAMETERS angstrom
1.4876 7.4114 4.3902
-8.0620 3.3666 0.2936
-2.4570 -2.3543 8.0521
ATOMIC_POSITIONS crystal
Tl 0.6901 0.0000 0.3099
Tl 0.3099 0.0000 0.6901
Tl 0.1513 0.6421 0.6421
Tl 0.3579 0.8487 0.3579
Tl 0.0000 0.0000 0.5000
Tl 0.0000 0.5000 0.0000
Tl 0.6421 0.1513 0.6421
Tl 0.8487 0.3579 0.3579
Tl 0.0000 0.3099 0.6901
Tl 0.5000 0.0000 0.0000
Tl 0.6421 0.6421 0.1513
Tl 0.0000 0.6901 0.3099
Tl 0.3579 0.3579 0.8487
Tl 0.3099 0.6901 0.0000
Tl 0.6901 0.3099 0.0000
Sn 0.2755 0.2755 0.2755
Sn 0.7245 0.7245 0.7245
Pb 0.0949 0.0949 0.0949
Pb 0.9051 0.9051 0.9051
```

Computed properties:
The formation energy is 0.103 eV/atom. The calculation puts the volume at 637 Å³/cell. The space-group type is R-3m (166).

=====

Entry 2:
VASP calculation (PBE) on an optimized crystal structure of Sr2RhO5. Values from VASP.

Cell and atoms, written as Quantum ESPRESSO input:
```
&SYSTEM
  ibrav = 0, nat = 32, ntyp = 3
/
ATOMIC_SPECIES
O 16.00 O.upf
Rh 102.91 Rh.upf
Sr 87.62 Sr.upf
CELL_PARAMETERS angstrom
5.5368 0.0000 0.0000
0.0000 7.2507 0.0000
0.0000 0.0000 11.1028
ATOMIC_POSITIONS crystal
O 0.2500 0.2849 0.8945
O 0.7500 0.9550 0.7916
O 0.5000 0.0000 0.0000
O 0.0000 0.5000 0.5000
O 0.0013 0.6582 0.8871
O 0.5013 0.8418 0.3871
O 0.5000 0.5000 0.5000
O 0.4987 0.1582 0.6129
O 0.5013 0.3418 0.1129
O 0.2500 0.7849 0.6055
O 0.2500 0.0450 0.2084
O 0.0000 0.0000 0.0000
O 0.9987 0.8418 0.3871
O 0.7500 0.2151 0.3945
O 0.7500 0.7151 0.1055
O 0.4987 0.6582 0.8871
O 0.9987 0.3418 0.1129
O 0.2500 0.5450 0.2916
O 0.7500 0.4550 0.7084
O 0.0013 0.1582 0.6129
Rh 0.7500 0.3163 0.5621
Rh 0.2500 0.6837 0.4379
Rh 0.7500 0.8163 0.9379
Rh 0.2500 0.1837 0.0621
Sr 0.2500 0.1748 0.4186
Sr 0.7500 0.3252 0.9186
Sr 0.2500 0.6748 0.0814
Sr 0.2500 0.9760 0.7915
Sr 0.2500 0.4760 0.7085
Sr 0.7500 0.8252 0.5814
Sr 0.7500 0.5240 0.2915
Sr 0.7500 0.0240 0.2085
```

Computed properties:
The energy above the most stable polymorph in this dataset is 0.0 kJ per mole of atoms. The calculation puts the volume at 446 Å³/cell. The space-group type is Pnma (62).

=====

Entry 3:
VASP calculation (PBE) on an optimized crystal structure of Rb2Al2I7. Values from VASP.

Cell and atoms, written as Quantum ESPRESSO input:
```
&SYSTEM
  ibrav = 0, nat = 22, ntyp = 3
/
ATOMIC_SPECIES
I 126.90 I.upf
Rb 85.47 Rb.upf
Al 26.98 Al.upf
CELL_PARAMETERS angstrom
-5.5333 -3.0039 -6.7671
-2.2270 -6.0364 6.6360
-8.3106 11.2970 4.6060
ATOMIC_POSITIONS crystal
I 0.0094 0.9906 0.2500
I 0.3751 0.1158 0.0904
I 0.3969 0.3683 0.3577
I 0.9906 0.0094 0.7500
I 0.0783 0.4156 0.1399
I 0.9217 0.5844 0.8601
I 0.1158 0.3751 0.5904
I 0.4156 0.0783 0.6399
I 0.3683 0.3969 0.8577
I 0.8842 0.6249 0.4096
I 0.6317 0.6031 0.1423
I 0.6249 0.8842 0.9096
I 0.6031 0.6317 0.6423
I 0.5844 0.9217 0.3601
Rb 0.7125 0.2910 0.9762
Rb 0.2910 0.7125 0.4762
Rb 0.2875 0.7090 0.0238
Rb 0.7090 0.2875 0.5238
Al 0.7805 0.7831 0.2908
Al 0.2195 0.2169 0.7092
Al 0.2169 0.2195 0.2092
Al 0.7831 0.7805 0.7908
```

Computed properties:
The calculation puts the volume at 1213 Å³/cell. The space-group type is C2/c (15). The calculated total energy is -59.61 eV for the cell shown.

=====

Entry 4:
VASP calculation (PBE) on an optimized crystal structure of AsIr3C. Values from VASP.

Cell and atoms, written as Quantum ESPRESSO input:
```
&SYSTEM
  ibrav = 0, nat = 5, ntyp = 3
/
ATOMIC_SPECIES
Ir 192.22 Ir.upf
As 74.92 As.upf
C 12.01 C.upf
CELL_PARAMETERS angstrom
-2.8616 0.6459 2.9251
-2.3501 -2.9925 -1.6383
1.8575 -2.7910 2.4335
ATOMIC_POSITIONS crystal
Ir 0.0000 0.5000 0.0000
Ir 0.5000 0.0000 0.0000
Ir 0.0000 0.0000 0.5000
As 0.5000 0.5000 0.5000
C 0.0000 0.0000 0.0000
```

Computed properties:
The energy above the most stable polymorph in this dataset is 0.0 kJ per mole of atoms. The formation energy is 0.624 eV/atom. The calculation puts the volume at 71 Å³/cell. The space-group type is Pm-3m (221).

=====

Entry 5:
VASP calculation (PBE) on an optimized crystal structure of Tb3Ho2Er9. Values from VASP.

Cell and atoms, written as Quantum ESPRESSO input:
```
&SYSTEM
  ibrav = 0, nat = 14, ntyp = 3
/
ATOMIC_SPECIES
Er 167.26 Er.upf
Tb 158.93 Tb.upf
Ho 164.93 Ho.upf
CELL_PARAMETERS angstrom
4.7982 0.7887 2.2493
3.4323 8.3051 5.2791
2.2978 2.9766 14.2253
ATOMIC_POSITIONS crystal
Er 0.0000 0.5000 0.5000
Er 0.2775 0.4956 0.1384
Er 0.7225 0.5044 0.8616
Er 0.4100 0.9959 0.7028
Er 0.8278 0.7556 0.9370
Er 0.5900 0.0041 0.2972
Er 0.0437 0.7729 0.5118
Er 0.9563 0.2271 0.4882
Er 0.1722 0.2444 0.0630
Tb 0.0000 0.0000 0.0000
Tb 0.3008 0.7391 0.6677
Tb 0.6992 0.2609 0.3323
Ho 0.4944 0.7403 0.2395
Ho 0.5056 0.2597 0.7605
```

Computed properties:
The formation energy is 0.185 eV/atom. The calculation puts the volume at 443 Å³/cell. The space-group type is P-1 (2).

=====

Entry 6:
VASP calculation (PBE) on an optimized crystal structure of Na3Au5Br12. Values from VASP.

Cell and atoms, written as Quantum ESPRESSO input:
```
&SYSTEM
  ibrav = 0, nat = 80, ntyp = 3
/
ATOMIC_SPECIES
Au 196.97 Au.upf
Br 79.90 Br.upf
Na 22.99 Na.upf
CELL_PARAMETERS angstrom
14.9021 0.0000 0.0000
-4.9674 14.0499 0.0000
-4.9674 -7.0249 12.1675
ATOMIC_POSITIONS crystal
Au 0.2500 0.3750 0.6250
Au 0.0000 0.0000 0.0000
Au 0.6250 0.7500 0.8750
Au 0.8750 0.6250 0.7500
Au 0.3750 0.2500 0.1250
Au 0.7500 0.1250 0.8750
Au 0.5000 0.0000 0.0000
Au 0.8750 0.2500 0.6250
Au 0.5000 0.0000 0.5000
Au 0.6250 0.8750 0.2500
Au 0.0000 0.0000 0.5000
Au 0.1250 0.7500 0.3750
Au 0.3750 0.1250 0.7500
Au 0.5000 0.5000 0.5000
Au 0.2500 0.8750 0.1250
Au 0.7500 0.6250 0.3750
Au 0.0000 0.5000 0.5000
Au 0.5000 0.5000 0.0000
Au 0.1250 0.3750 0.2500
Au 0.0000 0.5000 0.0000
Br 0.3057 0.4385 0.8303
Br 0.6697 0.4754 0.6082
Br 0.1697 0.1082 0.9754
Br 0.5246 0.1943 0.1328
Br 0.8057 0.4754 0.3672
Br 0.4754 0.8057 0.8672
Br 0.3057 0.8672 0.9754
Br 0.0246 0.6328 0.6943
Br 0.8918 0.8303 0.5246
Br 0.6082 0.9754 0.6697
Br 0.8918 0.0615 0.8672
Br 0.1328 0.4385 0.1082
Br 0.6943 0.5615 0.1697
Br 0.1697 0.0615 0.6943
Br 0.5615 0.8672 0.3918
Br 0.9385 0.1082 0.6328
Br 0.6328 0.0246 0.1943
Br 0.8303 0.9385 0.3057
Br 0.6328 0.6082 0.9385
Br 0.4754 0.6697 0.1082
Br 0.6697 0.1943 0.5615
Br 0.1082 0.1697 0.4754
Br 0.8672 0.3057 0.4754
Br 0.3672 0.9754 0.8057
Br 0.1943 0.5246 0.6328
Br 0.3918 0.3672 0.5615
Br 0.8672 0.5615 0.8918
Br 0.1943 0.6697 0.0615
Br 0.3672 0.3918 0.0615
Br 0.9754 0.3672 0.3057
Br 0.3303 0.8057 0.4385
Br 0.1082 0.9385 0.1328
Br 0.6943 0.1328 0.0246
Br 0.6082 0.6328 0.4385
Br 0.8303 0.8918 0.0246
Br 0.0615 0.8918 0.3672
Br 0.0615 0.1697 0.1943
Br 0.5615 0.6943 0.6697
Br 0.3303 0.5246 0.3918
Br 0.8057 0.3303 0.9385
Br 0.5246 0.3303 0.8918
Br 0.3918 0.0246 0.3303
Br 0.4385 0.3057 0.3303
Br 0.9754 0.6082 0.1697
Br 0.0246 0.3918 0.8303
Br 0.9385 0.8303 0.8057
Br 0.4385 0.1328 0.6082
Br 0.1328 0.6943 0.5246
Na 0.6250 0.2500 0.3750
Na 0.2500 0.6250 0.8750
Na 0.7500 0.3750 0.1250
Na 0.6250 0.3750 0.7500
Na 0.2500 0.1250 0.3750
Na 0.8750 0.7500 0.1250
Na 0.1250 0.2500 0.8750
Na 0.7500 0.8750 0.6250
Na 0.3750 0.7500 0.6250
Na 0.1250 0.8750 0.7500
Na 0.3750 0.6250 0.2500
Na 0.8750 0.1250 0.2500
```

Computed properties:
The calculation puts the volume at 2548 Å³/cell. The space-group type is Ia-3d (230). The calculated total energy is -197.40 eV for the cell shown.

=====

Entry 7:
VASP calculation (PBE) on an optimized crystal structure of VHgPd2. Values from VASP.

Cell and atoms, written as Quantum ESPRESSO input:
```
&SYSTEM
  ibrav = 0, nat = 4, ntyp = 3
/
ATOMIC_SPECIES
Pd 106.42 Pd.upf
Hg 200.59 Hg.upf
V 50.94 V.upf
CELL_PARAMETERS angstrom
-0.6821 -0.5094 -2.7140
1.7189 -1.5784 -1.6263
-4.5278 -8.8400 1.3065
ATOMIC_POSITIONS crystal
Pd 0.9028 0.9028 0.2916
Pd 0.0972 0.0972 0.7084
Hg 0.0000 0.0000 0.0000
V 0.5000 0.5000 0.5000
```

Computed properties:
The formation energy is 0.020 eV/atom. The calculation puts the volume at 69 Å³/cell. The space-group type is R-3m (166).

=====

Entry 8:
VASP calculation (PBE) on an optimized crystal structure of PbW2Cl. Values from VASP.

Cell and atoms, written as Quantum ESPRESSO input:
```
&SYSTEM
  ibrav = 0, nat = 4, ntyp = 3
/
ATOMIC_SPECIES
W 183.84 W.upf
Pb 207.20 Pb.upf
Cl 35.45 Cl.upf
CELL_PARAMETERS angstrom
3.1043 -0.0087 0.0000
-1.7583 2.5583 0.0000
0.0000 0.0000 9.6140
ATOMIC_POSITIONS crystal
W 0.0000 0.0000 0.0173
W 0.0000 0.0000 0.4827
Pb 0.5000 0.5000 0.7500
Cl 0.5000 0.5000 0.2500
```

Computed properties:
The energy above the most stable polymorph in this dataset is 95.6 kJ per mole of atoms. The calculation puts the volume at 76 Å³/cell. The space-group type is Cmmm (65).